[1]
10
Lattice="-6.7336 -1.8134 -2.3041 2.9249 -4.5585 -4.9602 -0.1403 -3.7338 3.3488" Properties=species:S:1:pos:R:3 comment="Hg2PdPb2, optimized geometry, DFT PBE-GGA" dft_energy_ry_per_atom=-0.18909 magmom_total_mub_per_fu=0.00 formation_energy_ev_per_fu=0.35 pbc="T T T"
Pb -3.9773 -1.9281 -2.3165
Pb -0.0858 -1.8392 -2.0543
Pb -3.7229 -4.5327 -5.2099
Pb 0.1687 -4.4438 -4.9478
Hg -2.0615 -6.8918 -4.0117
Hg 0.7813 -5.1684 -1.9711
Hg -4.7303 -4.9374 -1.9444
Hg -1.8875 -3.2140 0.0962
Pd -1.9043 -3.1860 -3.6321
Pd 0.0000 0.0000 0.0000



[2]
5
Lattice="5.0291 0.0000 0.0000 0.0000 5.0291 0.0000 0.0000 0.0000 4.5568" Properties=species:S:1:pos:R:3 comment="LaBrN2F, optimized geometry, DFT PBE-GGA" dft_energy_ry_per_atom=-0.37395 magmom_total_mub_per_fu=4.99 formation_energy_uncorrected_mev_per_atom=-63 pbc="T T T"
La 0.0000 0.0000 0.0000
N 0.0000 2.5146 0.0000
N 2.5146 0.0000 0.0000
F 0.0000 0.0000 2.2784
Br 2.5146 2.5146 2.2784



[3]
5
Lattice="-0.2026 0.4762 4.6981 2.6672 -3.8689 0.5072 3.8968 2.6729 -0.1029" Properties=species:S:1:pos:R:3 comment="Mo4Pt, optimized geometry, DFT PBE-GGA" dft_energy_ry_per_atom=-0.57761 magmom_total_mub_per_fu=1.09 formation_energy_ev_per_fu=10.07 pbc="T T T"
Mo 3.2820 -0.5980 0.2021
Mo 0.0000 0.0000 0.0000
Mo 1.8471 1.5746 2.2976
Mo 1.2323 -1.6964 2.6026
Pt 3.1807 -0.3599 2.5512



[4]
5
Lattice="-1.6508 -2.1233 3.3854 3.6509 -2.6823 0.0979 1.9581 2.7632 2.6878" Properties=species:S:1:pos:R:3 comment="InNiAs2C, optimized geometry, DFT PBE-GGA" dft_energy_ry_per_atom=-0.31677 magmom_total_mub_per_fu=0.00 formation_energy_ev_per_fu=5.49 pbc="T T T"
In 1.8254 -1.3412 0.0490
As 0.9790 1.3816 1.3439
As -0.8254 -1.0616 1.6927
Ni 1.9791 -1.0212 3.0856
C 0.0000 0.0000 0.0000



[5]
10
Lattice="-3.7952 -1.4010 2.0112 2.3343 -0.9686 3.7305 -3.1476 6.4124 3.6368" Properties=species:S:1:pos:R:3 comment="Li3AgGe, optimized geometry, DFT PBE-GGA" dft_energy_ry_per_atom=-0.21653 magmom_total_mub_per_fu=0.00 formation_energy_ev_per_fu=-1.52 pbc="T T T"
Li -2.1606 -1.4616 5.0555
Li -2.4479 5.5045 4.3229
Li -4.0748 3.2727 4.7646
Li -2.6676 1.4255 6.1253
Li -0.5337 0.7702 4.6138
Li -1.9409 2.6174 3.2532
Ge -1.0235 3.5517 5.6439
Ge -3.5850 0.4912 3.7345
Ag -3.1451 4.1360 7.1273
Ag -1.4633 -0.0931 2.2511



[6]
4
Lattice="3.2921 0.0000 0.0000 0.0000 3.2921 0.0000 0.0000 0.0000 5.9660" Properties=species:S:1:pos:R:3 comment="Be2TlP, optimized geometry, DFT PBE-GGA" dft_energy_ry_per_atom=-0.24712 magmom_total_mub_per_fu=0.00 formation_energy_ev_per_fu=1.78 pbc="T T T"
P 0.0000 0.0000 2.1680
Be 0.0000 0.0000 0.1206
Be 1.6461 1.6461 1.9685
Tl 1.6461 1.6461 4.6919



[7]
14
Lattice="5.9594 0.0000 1.4475 2.9797 8.7730 0.7237 -0.3270 0.0000 8.6125" Properties=species:S:1:pos:R:3 comment="Dy5YTh, optimized geometry, DFT PBE-GGA" dft_energy_ry_per_atom=-0.37299 magmom_total_mub_per_fu=0.00 formation_energy_ev_per_fu=1.37 pbc="T T T"
Dy 6.6441 6.0402 1.9388
Dy 3.5010 2.7328 5.5213
Dy 1.0811 3.2756 3.3443
Dy 4.7148 3.2756 2.4094
Dy 7.5310 5.4973 7.4395
Dy 5.7142 2.5899 7.9069
Dy 1.9680 2.7328 8.8450
Dy 2.8979 6.1830 2.8769
Dy 5.1111 6.0402 5.2625
Dy 3.8973 5.4973 8.3743
Y 5.7142 8.5549 7.9069
Y 2.8979 0.2181 2.8769
Th 0.0000 0.0000 0.0000
Th -0.1635 0.0000 4.3063



[8]
10
Lattice="7.3839 0.0000 0.0000 0.0000 7.3839 0.0000 0.0000 0.0000 4.7710" Properties=species:S:1:pos:R:3 comment="Ba2P2Pd, optimized geometry, DFT PBE-GGA" dft_energy_ry_per_atom=-0.34320 magmom_total_mub_per_fu=0.00 formation_energy_ev_per_fu=-3.49 pbc="T T T"
Ba 1.3665 5.0584 2.3855
Ba 2.3255 1.3665 2.3855
Ba 5.0584 6.0174 2.3855
Ba 6.0174 2.3255 2.3855
Pd 3.6920 3.6920 0.0000
Pd 0.0000 0.0000 0.0000
P 0.7977 2.8942 0.0000
P 4.4897 0.7977 0.0000
P 6.5862 4.4897 0.0000
P 2.8942 6.5862 0.0000